Entry 1:
# AgBi2Pd6

A relaxed AgBi2Pd6 crystal (PBE, the Alexandria database).

Cell lengths 4.962, 4.962, 8.626 Å; angles 102.59, 77.44, 128.55 degrees
Positions (direct):
1 Ag 0.000 0.000 0.500
2 Bi 0.681 0.315 0.260
3 Pd 0.339 0.660 0.396
4 Bi 0.319 0.685 0.740
5 Pd 0.994 0.008 0.836
6 Pd 0.661 0.340 0.604
7 Pd 0.660 0.342 0.943
8 Pd 0.340 0.658 0.057
9 Pd 0.006 0.992 0.164

Computed properties:
DFT formation energy: -210.9 meV per atom
Spin magnetization: 0.00 μB/cell

=====

Entry 2:
# TcSbP2

A relaxed TcSbP2 crystal (PBE, the Alexandria database).

Cell lengths 5.570, 5.570, 5.570 Å; angles 148.42, 123.92, 65.80 degrees
Positions (direct):
1 Sb 0.750 0.250 0.500
2 P 0.447 0.447 0.000
3 Tc 0.250 0.750 0.500
4 P 0.053 0.053 0.000

Computed properties:
DFT total energy: -5.94 eV per atom
Spin magnetization: 0.00 μB/cell

=====

Entry 3:
# Ta2GaPt

A relaxed Ta2GaPt crystal (PBE, the Alexandria database).

Cell lengths 3.426, 3.426, 7.471 Å; angles 76.74, 76.74, 60.00 degrees
Positions (direct):
1 Ta 0.248 0.248 0.255
2 Ta 0.752 0.752 0.745
3 Pt 0.000 0.000 0.000
4 Ga 0.500 0.500 0.500

Computed properties:
DFT formation energy: 136.6 meV per atom
Spin magnetization: 0.00 μB/cell

=====

Entry 4:
# Na14Al2S9

A relaxed Na14Al2S9 crystal (PBE, the Alexandria database).

Cell lengths 7.986, 7.986, 10.935 Å; angles 90.00, 90.00, 120.00 degrees
Positions (direct):
1 S 0.628 0.725 0.341
2 Na 0.321 0.362 0.905
3 Na 0.679 0.638 0.095
4 S 0.725 0.097 0.659
5 S 0.000 0.000 0.000
6 Na 0.041 0.679 0.905
7 Na 0.000 0.000 0.253
8 Al 0.667 0.333 0.731
9 Na 0.907 0.593 0.398
10 Na 0.314 0.907 0.602
11 Na 0.000 0.000 0.747
12 Na 0.638 0.959 0.905
13 Na 0.362 0.041 0.095
14 Na 0.959 0.321 0.095
15 S 0.372 0.275 0.659
16 Na 0.593 0.686 0.602
17 Na 0.407 0.314 0.398
18 S 0.333 0.667 0.059
19 S 0.667 0.333 0.941
20 Al 0.333 0.667 0.269
21 Na 0.686 0.093 0.398
22 S 0.275 0.903 0.341
23 S 0.097 0.372 0.341
24 S 0.903 0.628 0.659
25 Na 0.093 0.407 0.602

Computed properties:
DFT total energy: -3.54 eV per atom
Spin magnetization: 1.43 μB/cell

=====

Entry 5:
# Na2Si5Pt3

A relaxed Na2Si5Pt3 crystal (PBE, the Alexandria database).

Cell lengths 4.167, 6.655, 11.986 Å; angles 90.00, 100.01, 90.00 degrees
Positions (direct):
1 Pt 0.778 0.725 0.556
2 Pt 0.942 0.462 0.884
3 Si 0.952 0.086 0.903
4 Pt 0.607 0.511 0.214
5 Na 0.483 0.748 0.966
6 Si 0.394 0.387 0.789
7 Na 0.177 0.722 0.354
8 Si 0.116 0.280 0.231
9 Na 0.517 0.248 0.034
10 Si 0.294 0.516 0.588
11 Pt 0.058 0.962 0.116
12 Pt 0.393 0.011 0.786
13 Si 0.706 0.016 0.412
14 Si 0.606 0.887 0.211
15 Pt 0.222 0.225 0.444
16 Si 0.884 0.780 0.769
17 Na 0.823 0.222 0.646
18 Si 0.048 0.586 0.097
19 Si 0.708 0.428 0.416
20 Si 0.292 0.928 0.584

Computed properties:
DFT total energy: -5.21 eV per atom
Spin magnetization: 0.00 μB/cell

=====

Entry 6:
# Be4VZn

A relaxed Be4VZn crystal (PBE, the Alexandria database).

Cell lengths 4.389, 4.389, 4.389 Å; angles 60.00, 60.00, 60.00 degrees
Each line ends with the local moment (μB).
Positions (direct):
1 V 0.250 0.250 0.250  1.18
2 Be 0.622 0.622 0.134  -0.01
3 Be 0.134 0.622 0.622  -0.01
4 Be 0.622 0.622 0.622  -0.01
5 Be 0.622 0.134 0.622  -0.01
6 Zn 0.000 0.000 0.000  0.01

Computed properties:
DFT formation energy: 45.1 meV per atom
Spin magnetization: 1.28 μB/cell

=====

| no. | Fermi-level density of states (states/eV per cell) |
| --- | --- |
| 1 | 3.48 |
| 2 | 3.73 |
| 3 | 2.04 |
| 4 | 5.37 |
| 5 | 8.07 |
| 6 | 2.81 |